1.
Pr4Sm4Tl | PBE | relaxed

Total moment (μB per formula unit): 0.0
DOS(E_F) (states/eV/atom): 1.444
Symmetry: I4/mmm

a = 8.1672 Å, b = 8.1672 Å, c = 8.1672 Å
α = 95.40°, β = 95.40°, γ = 144.27°
Fractional coordinates of all 9 atoms:
Pr 0.1612 0.1612 0.3224
Pr 0.1612 0.8388 0.0000
Pr 0.8388 0.1612 0.0000
Pr 0.8388 0.8388 0.6776
Sm 0.1638 0.5000 0.6638
Sm 0.5000 0.1638 0.6638
Sm 0.5000 0.8362 0.3362
Sm 0.8362 0.5000 0.3362
Tl 0.5000 0.5000 0.0000



2.
Pr12Sm5Tl2 | PBE | relaxed

Total moment (μB per formula unit): 0.0
DOS(E_F) (states/eV/atom): 1.344
Symmetry: C2/m

a = 9.2188 Å, b = 9.2188 Å, c = 8.7637 Å
α = 93.04°, β = 93.04°, γ = 62.32°
Fractional coordinates of all 19 atoms:
Pr 0.0565 0.0565 0.3185
Pr 0.0695 0.6822 0.3389
Pr 0.1670 0.5360 0.7648
Pr 0.3178 0.9305 0.6611
Pr 0.4191 0.4191 0.1160
Pr 0.4640 0.8330 0.2352
Pr 0.5360 0.1670 0.7648
Pr 0.5809 0.5809 0.8840
Pr 0.6822 0.0695 0.3389
Pr 0.8330 0.4640 0.2352
Pr 0.9305 0.3178 0.6611
Pr 0.9435 0.9435 0.6815
Sm 0.1860 0.1860 0.0076
Sm 0.2676 0.2676 0.4154
Sm 0.5000 0.5000 0.5000
Sm 0.7324 0.7324 0.5846
Sm 0.8140 0.8140 0.9924
Tl 0.1824 0.8176 0.0000
Tl 0.8176 0.1824 0.0000



3.
PrSm12Tl6 | PBE | relaxed

Total moment (μB per formula unit): 0.0
DOS(E_F) (states/eV/atom): 1.639
Symmetry: R-3m

a = 8.9721 Å, b = 8.9721 Å, c = 8.9721 Å
α = 103.06°, β = 103.06°, γ = 103.06°
Fractional coordinates of all 19 atoms:
Pr 0.0000 0.0000 0.0000
Sm 0.1167 0.5000 0.8833
Sm 0.1167 0.8833 0.5000
Sm 0.1755 0.4404 0.4404
Sm 0.4404 0.1755 0.4404
Sm 0.4404 0.4404 0.1755
Sm 0.5000 0.1167 0.8833
Sm 0.5000 0.8833 0.1167
Sm 0.5596 0.5596 0.8245
Sm 0.5596 0.8245 0.5596
Sm 0.8245 0.5596 0.5596
Sm 0.8833 0.1167 0.5000
Sm 0.8833 0.5000 0.1167
Tl 0.2492 0.2492 0.7108
Tl 0.2492 0.7108 0.2492
Tl 0.2892 0.7508 0.7508
Tl 0.7108 0.2492 0.2492
Tl 0.7508 0.2892 0.7508
Tl 0.7508 0.7508 0.2892



4.
Pr3Sm2Tl | PBE | relaxed

Total moment (μB per formula unit): 0.0
DOS(E_F) (states/eV/atom): 1.084
Symmetry: C2/c
Energy relative to the lowest polymorph listed for this composition (eV/atom): 0.036

a = 9.4734 Å, b = 9.4734 Å, c = 6.6478 Å
α = 98.46°, β = 98.46°, γ = 43.06°
Fractional coordinates of all 12 atoms:
Pr 0.0519 0.2831 0.0444
Pr 0.2331 0.7669 0.7500
Pr 0.2831 0.0519 0.5444
Pr 0.7169 0.9481 0.4556
Pr 0.7669 0.2331 0.2500
Pr 0.9481 0.7169 0.9556
Sm 0.2324 0.4456 0.4258
Sm 0.4456 0.2324 0.9258
Sm 0.5544 0.7676 0.0742
Sm 0.7676 0.5544 0.5742
Tl 0.2756 0.7244 0.2500
Tl 0.7244 0.2756 0.7500



5.
Pr6SmTl | PBE | relaxed

Total moment (μB per formula unit): 0.0
DOS(E_F) (states/eV/atom): 1.240
Symmetry: C2/m
Energy relative to the lowest polymorph listed for this composition (eV/atom): 0.068

a = 6.5715 Å, b = 6.5715 Å, c = 6.5107 Å
α = 94.98°, β = 94.98°, γ = 98.19°
Fractional coordinates of all 8 atoms:
Pr 0.0293 0.6365 0.2757
Pr 0.1535 0.1535 0.2025
Pr 0.3635 0.9707 0.7243
Pr 0.6365 0.0293 0.2757
Pr 0.8465 0.8465 0.7975
Pr 0.9707 0.3635 0.7243
Sm 0.5000 0.5000 0.0000
Tl 0.5000 0.5000 0.5000



6.
Pr5Sm4Tl | PBE | relaxed

Total moment (μB per formula unit): 0.0
DOS(E_F) (states/eV/atom): 1.422
Symmetry: I4mm
Energy relative to the lowest polymorph listed for this composition (eV/atom): 0.115

a = 8.2018 Å, b = 8.2018 Å, c = 8.2018 Å
α = 98.06°, β = 98.06°, γ = 136.01°
Fractional coordinates of all 10 atoms:
Pr 0.0000 0.0000 0.0000
Pr 0.0971 0.0971 0.6239
Pr 0.0971 0.4732 0.0000
Pr 0.4732 0.0971 0.0000
Pr 0.4732 0.4732 0.3761
Sm 0.1134 0.7977 0.3157
Sm 0.4821 0.7977 0.6843
Sm 0.7977 0.1134 0.3157
Sm 0.7977 0.4821 0.6843
Tl 0.5231 0.5231 0.0000



7.
Pr7SmTl3 | PBE | relaxed

Total moment (μB per formula unit): 0.0
DOS(E_F) (states/eV/atom): 1.439
Symmetry: C2/m

a = 8.5206 Å, b = 8.5206 Å, c = 6.0283 Å
α = 110.55°, β = 110.55°, γ = 92.66°
Fractional coordinates of all 11 atoms:
Pr 0.0000 0.0000 0.0000
Pr 0.1077 0.5319 0.3188
Pr 0.3325 0.3325 0.8333
Pr 0.4681 0.8923 0.6812
Pr 0.5319 0.1077 0.3188
Pr 0.6675 0.6675 0.1667
Pr 0.8923 0.4681 0.6812
Sm 0.0000 0.0000 0.5000
Tl 0.2624 0.7376 0.0000
Tl 0.5000 0.5000 0.5000
Tl 0.7376 0.2624 0.0000



8.
Pr5Sm2Tl | PBE | relaxed

Total moment (μB per formula unit): 0.0
DOS(E_F) (states/eV/atom): 1.252
Symmetry: Immm
Energy relative to the lowest polymorph listed for this composition (eV/atom): 0.045

a = 8.9536 Å, b = 8.9536 Å, c = 8.9536 Å
α = 157.05°, β = 100.67°, γ = 83.92°
Fractional coordinates of all 8 atoms:
Pr 0.0000 0.0000 0.0000
Pr 0.1083 0.3701 0.7382
Pr 0.3682 0.6299 0.7382
Pr 0.6318 0.3701 0.2618
Pr 0.8917 0.6299 0.2618
Sm 0.2678 0.2678 0.0000
Sm 0.7322 0.7322 0.0000
Tl 0.5000 0.0000 0.5000



9.
Pr6Sm2Tl3 | PBE | relaxed

Total moment (μB per formula unit): 0.0
DOS(E_F) (states/eV/atom): 0.855
Symmetry: I4/mmm

a = 13.1417 Å, b = 13.1417 Å, c = 13.1417 Å
α = 155.71°, β = 155.71°, γ = 34.62°
Fractional coordinates of all 11 atoms:
Pr 0.0999 0.5999 0.5000
Pr 0.1993 0.1993 0.0000
Pr 0.4001 0.9001 0.5000
Pr 0.5999 0.0999 0.5000
Pr 0.8007 0.8007 0.0000
Pr 0.9001 0.4001 0.5000
Sm 0.0578 0.0578 0.0000
Sm 0.9422 0.9422 0.0000
Tl 0.3259 0.3259 0.0000
Tl 0.5000 0.5000 0.0000
Tl 0.6741 0.6741 0.0000



10.
PrSmTl | PBE | relaxed

Total moment (μB per formula unit): 0.0
DOS(E_F) (states/eV/atom): 1.215
Symmetry: I4mm
Energy relative to the lowest polymorph listed for this composition (eV/atom): 0.048

a = 7.3513 Å, b = 7.3513 Å, c = 7.3513 Å
α = 150.48°, β = 150.48°, γ = 42.23°
Fractional coordinates of all 3 atoms:
Pr 0.0000 0.0000 0.0000
Sm 0.6897 0.6897 0.0000
Tl 0.3398 0.3398 0.0000



11.
PrSmTl | PBE | relaxed

Total moment (μB per formula unit): 0.0
DOS(E_F) (states/eV/atom): 1.205
Symmetry: P6_3mc
Energy relative to the lowest polymorph listed for this composition (eV/atom): 0.146

a = 3.6444 Å, b = 3.6444 Å, c = 16.9033 Å
α = 90.00°, β = 90.00°, γ = 120.00°
Fractional coordinates of all 6 atoms:
Pr 0.3333 0.6667 0.0000
Pr 0.6667 0.3333 0.5000
Sm 0.3333 0.6667 0.3261
Sm 0.6667 0.3333 0.8261
Tl 0.0000 0.0000 0.1656
Tl 0.0000 0.0000 0.6656



12.
Pr3Sm4Tl2 | PBE | relaxed

Total moment (μB per formula unit): 0.0
DOS(E_F) (states/eV/atom): 1.336
Symmetry: C2/c

a = 9.5679 Å, b = 9.5679 Å, c = 6.6222 Å
α = 94.00°, β = 94.00°, γ = 92.28°
Fractional coordinates of all 18 atoms:
Pr 0.0306 0.9694 0.7500
Pr 0.3217 0.4523 0.4049
Pr 0.4523 0.3217 0.9049
Pr 0.5477 0.6783 0.0951
Pr 0.6783 0.5477 0.5951
Pr 0.9694 0.0306 0.2500
Sm 0.0207 0.6745 0.4156
Sm 0.1808 0.6079 0.9183
Sm 0.3255 0.9793 0.0844
Sm 0.3921 0.8192 0.5817
Sm 0.6079 0.1808 0.4183
Sm 0.6745 0.0207 0.9156
Sm 0.8192 0.3921 0.0817
Sm 0.9793 0.3255 0.5844
Tl 0.1303 0.2793 0.0395
Tl 0.2793 0.1303 0.5395
Tl 0.7207 0.8697 0.4605
Tl 0.8697 0.7207 0.9605



no.,energy (eV per atom),DFT formation energy (eV per atom)
1,-4.526,-0.0412
2,-4.509,0.0011
3,-3.989,-0.0097
4,-4.430,-0.0729
5,-4.489,-0.0190
6,-4.385,0.1295
7,-4.146,-0.0300
8,-4.472,-0.0088
9,-3.918,0.1923
10,-4.173,-0.2176
11,-4.074,-0.1195
12,-4.301,-0.0849